Hf6HgO: optimized geometry, PBE.

Lattice parameters (Å, degrees): 5.492 5.492 5.492 100.37 100.37 100.37
Element x y z (fractional)
Hf  0.080  0.775  0.647
Hf  0.225  0.353  0.920
Hf  0.353  0.920  0.225
Hf  0.647  0.080  0.775
Hf  0.775  0.647  0.080
Hf  0.920  0.225  0.353
Hg  0.500  0.500  0.500
O  0.000  0.000  0.000

Computed properties:
Symmetry = R-3 (148)
Crystal system = trigonal

Be2RhI: optimized geometry, PBE.

Lattice parameters (Å, degrees): 4.345 4.345 4.345 60.00 60.00 60.00
Element x y z (fractional)
Be  0.250  0.250  0.250
Be  0.750  0.750  0.750
Rh  0.000  0.000  0.000
I  0.500  0.500  0.500

Computed properties:
Symmetry = Fm-3m (225)
Crystal system = cubic

Tb3Ho6Th: optimized geometry, PBE.

Lattice parameters (Å, degrees): 6.874 6.874 6.874 90.86 90.86 90.86
Element x y z (fractional)
Tb  0.000  0.000  0.000
Tb  0.242  0.242  0.242
Tb  0.758  0.758  0.758
Ho  0.000  0.666  0.334
Ho  0.170  0.500  0.830
Ho  0.334  0.000  0.666
Ho  0.500  0.830  0.170
Ho  0.666  0.334  0.000
Ho  0.830  0.170  0.500
Th  0.500  0.500  0.500

Computed properties:
Symmetry = R32 (155)
Crystal system = trigonal
Formation energy from the elements = 302 meV per atom

MgGe2BC: optimized geometry, PBE.

Lattice parameters (Å, degrees): 5.026 5.026 3.959 90.00 90.00 90.00
Element x y z (fractional)
Mg  0.000  0.000  0.000
Ge  0.000  0.500  0.000
Ge  0.500  0.000  0.000
B  0.500  0.500  0.500
C  0.000  0.000  0.500

Computed properties:
Symmetry = P4/mmm (123)
Crystal system = tetragonal
Formation energy from the elements = 2177 meV per atom

Values of energy, in order: -8.7576 -3.3386 -4.5756 -3.1692, all in eV per atom.
Values of calculated volume, in order: 156.4 58.0 324.7 100.0, all in Å³ per cell.